Record 1
## Tm3Co29Si4B10 (PBE-GGA)

Data for Tm3Co29Si4B10 after structural relaxation.

Cell lengths 11.0888, 11.0888, 7.7972 Å; angles 90.00, 90.00, 90.00 degrees
Fractional positions:
Tm (0.0000, 0.0000, 0.0000)
Tm (0.0000, 0.5000, 0.0000)
Tm (0.2500, 0.7500, 0.5000)
Tm (0.5000, 0.0000, 0.0000)
Tm (0.5000, 0.5000, 0.0000)
Tm (0.7500, 0.2500, 0.5000)
Co (0.0213, 0.2500, 0.4734)
Co (0.0758, 0.5885, 0.3356)
Co (0.0758, 0.9115, 0.3356)
Co (0.0849, 0.2500, 0.9702)
Co (0.0885, 0.5758, 0.6644)
Co (0.0885, 0.9242, 0.6644)
Co (0.1337, 0.1337, 0.2477)
Co (0.1337, 0.3663, 0.2477)
Co (0.1397, 0.1397, 0.6989)
Co (0.1397, 0.3603, 0.6989)
Co (0.1398, 0.7500, 0.1115)
Co (0.2500, 0.0213, 0.4734)
Co (0.2500, 0.0849, 0.9702)
Co (0.2500, 0.2500, 0.4657)
Co (0.2500, 0.4151, 0.9702)
Co (0.2500, 0.4787, 0.4734)
Co (0.2500, 0.6398, 0.8885)
Co (0.2500, 0.8602, 0.8885)
Co (0.3603, 0.1397, 0.6989)
Co (0.3603, 0.3603, 0.6989)
Co (0.3602, 0.7500, 0.1115)
Co (0.3663, 0.1337, 0.2477)
Co (0.3663, 0.3663, 0.2477)
Co (0.4115, 0.5758, 0.6644)
Co (0.4115, 0.9242, 0.6644)
Co (0.4151, 0.2500, 0.9702)
Co (0.4242, 0.5885, 0.3356)
Co (0.4242, 0.9115, 0.3356)
Co (0.4787, 0.2500, 0.4734)
Co (0.5213, 0.7500, 0.5266)
Co (0.5758, 0.0885, 0.6644)
Co (0.5758, 0.4115, 0.6644)
Co (0.5849, 0.7500, 0.0298)
Co (0.5885, 0.0758, 0.3356)
Co (0.5885, 0.4242, 0.3356)
Co (0.6337, 0.6337, 0.7523)
Co (0.6337, 0.8663, 0.7523)
Co (0.6398, 0.2500, 0.8885)
Co (0.6397, 0.6397, 0.3011)
Co (0.6397, 0.8603, 0.3011)
Co (0.7500, 0.1398, 0.1115)
Co (0.7500, 0.3602, 0.1115)
Co (0.7500, 0.5213, 0.5266)
Co (0.7500, 0.5849, 0.0298)
Co (0.7500, 0.7500, 0.5343)
Co (0.7500, 0.9151, 0.0298)
Co (0.7500, 0.9787, 0.5266)
Co (0.8602, 0.2500, 0.8885)
Co (0.8603, 0.6397, 0.3011)
Co (0.8603, 0.8603, 0.3011)
Co (0.8663, 0.6337, 0.7523)
Co (0.8663, 0.8663, 0.7523)
Co (0.9115, 0.0758, 0.3356)
Co (0.9115, 0.4242, 0.3356)
Co (0.9151, 0.7500, 0.0298)
Co (0.9242, 0.0885, 0.6644)
Co (0.9242, 0.4115, 0.6644)
Co (0.9787, 0.7500, 0.5266)
Si (0.0676, 0.7500, 0.8252)
Si (0.2500, 0.5676, 0.1748)
Si (0.2500, 0.9324, 0.1748)
Si (0.4324, 0.7500, 0.8252)
Si (0.5676, 0.2500, 0.1748)
Si (0.7500, 0.0676, 0.8252)
Si (0.7500, 0.4324, 0.8252)
Si (0.9324, 0.2500, 0.1748)
B (0.0062, 0.7500, 0.2641)
B (0.0640, 0.0640, 0.4816)
B (0.0640, 0.4360, 0.4816)
B (0.2500, 0.2500, 0.1072)
B (0.2500, 0.2500, 0.8509)
B (0.2500, 0.5062, 0.7359)
B (0.2500, 0.9938, 0.7359)
B (0.4360, 0.0640, 0.4816)
B (0.4360, 0.4360, 0.4816)
B (0.4938, 0.7500, 0.2641)
B (0.5062, 0.2500, 0.7359)
B (0.5640, 0.5640, 0.5184)
B (0.5640, 0.9360, 0.5184)
B (0.7500, 0.0062, 0.2641)
B (0.7500, 0.4938, 0.2641)
B (0.7500, 0.7500, 0.1491)
B (0.7500, 0.7500, 0.8928)
B (0.9360, 0.5640, 0.5184)
B (0.9360, 0.9360, 0.5184)
B (0.9938, 0.2500, 0.7359)

As for the formation energy without anion corrections: -0.42 eV/atom. The total energy is -654.88 eV/cell. As for the density of states at the Fermi level: 47.44 states/eV/f.u. As for the crystal system: tetragonal.

Record 2
## SnPSeCl2 (PBE-GGA)

Data for SnPSeCl2 after structural relaxation.

Cell lengths 4.9520, 4.9520, 5.1296 Å; angles 90.00, 90.00, 90.00 degrees
Fractional positions:
Sn (0.0000, 0.0000, 0.0000)
P (0.5000, 0.5000, 0.0000)
Se (0.5000, 0.5000, 0.5000)
Cl (0.0000, 0.5000, 0.5000)
Cl (0.5000, 0.0000, 0.5000)

As for the formation energy without anion corrections: 0.28 eV/atom. The total energy is -15.18 eV/cell. As for the density of states at the Fermi level: 1.73 states/eV/f.u. For the polymorph energy (0 for the lowest one), the calculation gives 0 meV/atom. As for the crystal system: tetragonal.

Record 3
## Ho4MgHg (PBE-GGA)

Data for Ho4MgHg after structural relaxation.

Cell lengths 5.0630, 5.0630, 7.4562 Å; angles 90.00, 90.00, 90.00 degrees
Fractional positions:
Ho (0.0000, 0.5000, 0.2390)
Ho (0.0000, 0.5000, 0.7610)
Ho (0.5000, 0.0000, 0.2390)
Ho (0.5000, 0.0000, 0.7610)
Mg (0.0000, 0.0000, 0.5000)
Hg (0.5000, 0.5000, 0.0000)

The formation energy is 0.151 eV per atom. The total energy is -19.30 eV/cell. As for the density of states at the Fermi level: 6.74 states/eV/f.u. As for the crystal system: tetragonal.

Record 4
## Nd2Ho3Mg3 (PBE-GGA)

Data for Nd2Ho3Mg3 after structural relaxation.

Cell lengths 11.7430, 11.7430, 11.7430 Å; angles 161.27, 153.28, 32.83 degrees
Fractional positions:
Nd (0.2335, 0.2335, 0.0000)
Nd (0.7665, 0.7665, 0.0000)
Ho (0.0000, 0.0000, 0.0000)
Ho (0.3783, 0.8783, 0.5000)
Ho (0.6217, 0.1217, 0.5000)
Mg (0.1136, 0.6136, 0.5000)
Mg (0.5000, 0.5000, 0.0000)
Mg (0.8864, 0.3864, 0.5000)

The formation energy is -0.043 eV per atom. The total energy is -28.40 eV/cell. As for the density of states at the Fermi level: 9.44 states/eV/f.u. As for the crystal system: orthorhombic.